1.
# LiNd4Pd4

A relaxed LiNd4Pd4 crystal (PBE, Alexandria via LeMat-Bulk).

Calculated values
* crystal system: tetragonal

```
data_LiNd4Pd4
_chemical_formula_sum 'Li2 Nd8 Pd8'
_cell_length_a 9.004
_cell_length_b 9.004
_cell_length_c 5.765
_cell_angle_alpha 90.00
_cell_angle_beta 90.00
_cell_angle_gamma 90.00
_space_group_name_H-M_alt 'I 4/m'
_space_group_IT_number 87
_space_group_name_Hall '-I 4'
loop_
_atom_site_label
_atom_site_fract_x
_atom_site_fract_y
_atom_site_fract_z
_atom_site_occupancy
Li1 0.000 0.000 0.000 1
Nd1 0.085 0.699 0.500 1
Pd1 0.089 0.734 0.000 1
```

=====

2.
# U2NbSe6

A relaxed U2NbSe6 crystal (PBE, Alexandria via LeMat-Bulk).

Calculated values
* raw formation energy: -985.2 meV per atom
* crystal system: monoclinic

```
data_U2NbSe6
_chemical_formula_sum 'U4 Nb2 Se12'
_cell_length_a 15.030
_cell_length_b 3.904
_cell_length_c 9.678
_cell_angle_alpha 90.00
_cell_angle_beta 108.77
_cell_angle_gamma 90.00
_space_group_name_H-M_alt 'C 1 2/m 1'
_space_group_IT_number 12
_space_group_name_Hall '-C 2y'
loop_
_atom_site_label
_atom_site_fract_x
_atom_site_fract_y
_atom_site_fract_z
_atom_site_occupancy
U1 0.160 0.000 0.320 1
Nb1 0.000 0.500 0.000 1
Se1 0.021 0.500 0.282 1
Se2 0.127 0.000 0.022 1
Se3 0.198 0.000 0.627 1
```

=====

3.
# CaZr2P

A relaxed CaZr2P crystal (PBE, Alexandria via LeMat-Bulk).

Calculated values
* crystal system: tetragonal

```
data_CaZr2P
_chemical_formula_sum 'Ca2 Zr4 P2'
_cell_length_a 4.207
_cell_length_b 4.207
_cell_length_c 9.477
_cell_angle_alpha 90.00
_cell_angle_beta 90.00
_cell_angle_gamma 90.00
_space_group_name_H-M_alt 'I -4 m 2'
_space_group_IT_number 119
_space_group_name_Hall 'I -4 -2'
loop_
_atom_site_label
_atom_site_fract_x
_atom_site_fract_y
_atom_site_fract_z
_atom_site_occupancy
Ca1 0.000 0.000 0.000 1
Zr1 0.000 0.000 0.500 1
Zr2 0.000 0.500 0.250 1
P1 0.000 0.500 0.750 1
```

=====

4.
# Li3Ac2CdAg4

A relaxed Li3Ac2CdAg4 crystal (PBE, Alexandria via LeMat-Bulk).

Calculated values
* crystal system: tetragonal

```
data_Li3Ac2CdAg4
_chemical_formula_sum 'Li3 Ac2 Cd1 Ag4'
_cell_length_a 4.609
_cell_length_b 4.609
_cell_length_c 11.098
_cell_angle_alpha 90.00
_cell_angle_beta 90.00
_cell_angle_gamma 90.00
_space_group_name_H-M_alt 'P -4 m 2'
_space_group_IT_number 115
_space_group_name_Hall 'P -4 -2'
loop_
_atom_site_label
_atom_site_fract_x
_atom_site_fract_y
_atom_site_fract_z
_atom_site_occupancy
Li1 0.000 0.000 0.000 1
Li2 0.000 0.500 0.611 1
Ac1 0.000 0.500 0.259 1
Cd1 0.500 0.500 0.000 1
Ag1 0.000 0.000 0.500 1
Ag2 0.000 0.500 0.847 1
Ag3 0.500 0.500 0.500 1
```

=====

| no. | size of the total moment (μB per formula unit) | total DFT energy (no corrections) (eV per atom) |
| --- | --- | --- |
| 1 | 0.0 | -5.176 |
| 2 | 4.9 | -6.936 |
| 3 | 0.0 | -6.172 |
| 4 | 0.0 | -2.849 |